(1)
# VReRu2N (GGA-PBE, relaxed)
# ΔE_f (raw): 2.61 eV/atom
# M_tot: 0.74 μB per atom
# DFT total energy: -7.083 eV per atom
# DOS at the Fermi energy: 6.842 states/eV/f.u.
# calculated density: 7.45 g/cm3
data_VReRu2N
_symmetry_space_group_name_H-M 'P 4/m m m'
_symmetry_Int_Tables_number 123
_symmetry_space_group_name_Hall '-P 4 2'
_cell_length_a 4.668
_cell_length_b 4.668
_cell_length_c 4.638
_cell_angle_alpha 90.00
_cell_angle_beta 90.00
_cell_angle_gamma 90.00
loop_
_atom_site_label
_atom_site_type_symbol
_atom_site_fract_x
_atom_site_fract_y
_atom_site_fract_z
V1 V 0.000 0.000 0.000
Re1 Re 0.000 0.000 0.500
Ru1 Ru 0.000 0.500 0.500
N1 N 0.500 0.500 0.000

---

(2)
# V2ReRuN (GGA-PBE, relaxed)
# ΔE_f (raw): -0.34 eV/atom
# M_tot: 0.00 μB per atom
# DFT total energy: -9.995 eV per atom
# DOS at the Fermi energy: 4.239 states/eV/f.u.
# calculated density: 10.78 g/cm3
data_V2ReRuN
_symmetry_space_group_name_H-M 'P 4/m m m'
_symmetry_Int_Tables_number 123
_symmetry_space_group_name_Hall '-P 4 2'
_cell_length_a 3.946
_cell_length_b 3.946
_cell_length_c 3.989
_cell_angle_alpha 90.00
_cell_angle_beta 90.00
_cell_angle_gamma 90.00
loop_
_atom_site_label
_atom_site_type_symbol
_atom_site_fract_x
_atom_site_fract_y
_atom_site_fract_z
V1 V 0.000 0.500 0.000
Re1 Re 0.000 0.000 0.500
Ru1 Ru 0.500 0.500 0.500
N1 N 0.000 0.000 0.000

---

(3)
# ReSN3 (GGA-PBE, relaxed)
# ΔE_f (raw): 2.00 eV/atom
# M_tot: 0.10 μB per atom
# DFT total energy: -6.306 eV per atom
# DOS at the Fermi energy: 2.706 states/eV/f.u.
# calculated density: 9.90 g/cm3
data_ReSN3
_symmetry_space_group_name_H-M 'P m -3 m'
_symmetry_Int_Tables_number 221
_symmetry_space_group_name_Hall '-P 4 2 3'
_cell_length_a 3.522
_cell_length_b 3.522
_cell_length_c 3.522
_cell_angle_alpha 90.00
_cell_angle_beta 90.00
_cell_angle_gamma 90.00
loop_
_atom_site_label
_atom_site_type_symbol
_atom_site_fract_x
_atom_site_fract_y
_atom_site_fract_z
Re1 Re 0.000 0.000 0.000
S1 S 0.500 0.500 0.500
N1 N 0.000 0.500 0.500

---

(4)
# ReS2N (GGA-PBE, relaxed)
# ΔE_f (raw): 1.33 eV/atom
# M_tot: 0.00 μB per atom
# DFT total energy: -5.923 eV per atom
# DOS at the Fermi energy: 2.830 states/eV/f.u.
# calculated density: 7.87 g/cm3
data_ReS2N
_symmetry_space_group_name_H-M 'R -3 m'
_symmetry_Int_Tables_number 166
_symmetry_space_group_name_Hall '-R 3 2"'
_cell_length_a 3.0139
_cell_length_b 3.0139
_cell_length_c 21.2793
_cell_angle_alpha 90.00
_cell_angle_beta 90.00
_cell_angle_gamma 120.00
loop_
_atom_site_label
_atom_site_type_symbol
_atom_site_fract_x
_atom_site_fract_y
_atom_site_fract_z
Re1 Re 0.0000 0.0000 0.0000
S1 S 0.0000 0.0000 0.1037
N1 N 0.0000 0.0000 0.5000